# K2NbCl5O

K2NbCl5O after structural relaxation (GGA-PBE, Alexandria).

Output
The space group is I4mm. The value obtained for the formation energy from raw total energies is -1764.6 meV/atom.

```
data_K2NbCl5O
_cell_length_a 7.131
_cell_length_b 7.131
_cell_length_c 7.131
_cell_angle_alpha 121.34
_cell_angle_beta 121.34
_cell_angle_gamma 87.69
_symmetry_space_group_name_H-M 'P 1'
_symmetry_Int_Tables_number 1
loop_
_symmetry_equiv_pos_as_xyz
'x,y,z'
loop_
_atom_site_label
_atom_site_fract_x
_atom_site_fract_y
_atom_site_fract_z
K1 0.000 0.500 0.500
K2 0.500 0.000 0.500
Nb1 0.233 0.233 0.000
Cl1 0.011 0.011 0.510
Cl2 0.011 0.501 0.000
Cl3 0.491 0.491 0.000
Cl4 0.501 0.011 0.000
Cl5 0.501 0.501 0.490
O1 0.062 0.062 0.000
```

***

# CuSiB

CuSiB after structural relaxation (GGA-PBE, Alexandria).

Output
The space group is P1. The value obtained for the formation energy from raw total energies is 203.3 meV/atom.

```
data_CuSiB
_cell_length_a 3.454
_cell_length_b 4.755
_cell_length_c 5.396
_cell_angle_alpha 105.33
_cell_angle_beta 103.83
_cell_angle_gamma 105.24
_symmetry_space_group_name_H-M 'P 1'
_symmetry_Int_Tables_number 1
loop_
_symmetry_equiv_pos_as_xyz
'x,y,z'
loop_
_atom_site_label
_atom_site_fract_x
_atom_site_fract_y
_atom_site_fract_z
Cu1 0.000 0.000 0.000
Cu2 0.494 0.455 0.870
Si1 0.334 0.531 0.306
Si2 0.813 0.073 0.592
B1 0.289 0.161 0.433
B2 0.917 0.759 0.274
```

***

# Pm2AlAu8

Pm2AlAu8 after structural relaxation (GGA-PBE, Alexandria).

Output
The calculation puts the formation energy at -0.55 eV per atom. The space group is P-1.

```
data_Pm2AlAu8
_cell_length_a 5.251
_cell_length_b 6.950
_cell_length_c 7.506
_cell_angle_alpha 114.26
_cell_angle_beta 105.74
_cell_angle_gamma 98.58
_symmetry_space_group_name_H-M 'P 1'
_symmetry_Int_Tables_number 1
loop_
_symmetry_equiv_pos_as_xyz
'x,y,z'
loop_
_atom_site_label
_atom_site_fract_x
_atom_site_fract_y
_atom_site_fract_z
Pm1 0.198 0.199 0.397
Pm2 0.802 0.801 0.603
Al1 0.500 0.500 0.000
Au1 0.046 0.265 0.998
Au2 0.186 0.681 0.364
Au3 0.344 0.676 0.766
Au4 0.418 0.089 0.765
Au5 0.582 0.911 0.235
Au6 0.656 0.324 0.234
Au7 0.814 0.319 0.636
Au8 0.954 0.735 0.002
```

***

# SrYSb2

SrYSb2 after structural relaxation (GGA-PBE, Alexandria).

Output
The space group is P4/mmm. Its energy relative to the lowest polymorph listed for this composition is 0.085 eV per atom. The value obtained for the formation energy from raw total energies is -876.9 meV/atom.

```
data_SrYSb2
_cell_length_a 4.552
_cell_length_b 4.552
_cell_length_c 6.429
_cell_angle_alpha 90.00
_cell_angle_beta 90.00
_cell_angle_gamma 90.00
_symmetry_space_group_name_H-M 'P 1'
_symmetry_Int_Tables_number 1
loop_
_symmetry_equiv_pos_as_xyz
'x,y,z'
loop_
_atom_site_label
_atom_site_fract_x
_atom_site_fract_y
_atom_site_fract_z
Sr1 0.000 0.000 0.000
Y1 0.500 0.500 0.500
Sb1 0.000 0.000 0.500
Sb2 0.500 0.500 0.000
```

***

# Pm3InSn5

Pm3InSn5 after structural relaxation (GGA-PBE, Alexandria).

Output
The calculation puts the formation energy at -0.46 eV per atom. The space group is P6_3/mcm.

```
data_Pm3InSn5
_cell_length_a 9.467
_cell_length_b 9.467
_cell_length_c 6.454
_cell_angle_alpha 90.00
_cell_angle_beta 90.00
_cell_angle_gamma 120.00
_symmetry_space_group_name_H-M 'P 1'
_symmetry_Int_Tables_number 1
loop_
_symmetry_equiv_pos_as_xyz
'x,y,z'
loop_
_atom_site_label
_atom_site_fract_x
_atom_site_fract_y
_atom_site_fract_z
Pm1 0.000 0.372 0.250
Pm2 0.000 0.628 0.750
Pm3 0.372 0.000 0.250
Pm4 0.372 0.372 0.750
Pm5 0.628 0.000 0.750
Pm6 0.628 0.628 0.250
In1 0.000 0.000 0.000
In2 0.000 0.000 0.500
Sn1 0.000 0.292 0.750
Sn2 0.000 0.708 0.250
Sn3 0.292 0.000 0.750
Sn4 0.292 0.292 0.250
Sn5 0.333 0.667 0.000
Sn6 0.333 0.667 0.500
Sn7 0.667 0.333 0.000
Sn8 0.667 0.333 0.500
Sn9 0.708 0.000 0.250
Sn10 0.708 0.708 0.750
```

***

# LaGeSeN2

LaGeSeN2 after structural relaxation (GGA-PBE, Alexandria).

Output
The space group is P4/mmm. Its energy relative to the lowest polymorph listed for this composition is 0.664 eV per atom. The value obtained for the formation energy from raw total energies is 699.5 meV/atom.

```
data_LaGeSeN2
_cell_length_a 4.228
_cell_length_b 4.228
_cell_length_c 6.313
_cell_angle_alpha 90.00
_cell_angle_beta 90.00
_cell_angle_gamma 90.00
_symmetry_space_group_name_H-M 'P 1'
_symmetry_Int_Tables_number 1
loop_
_symmetry_equiv_pos_as_xyz
'x,y,z'
loop_
_atom_site_label
_atom_site_fract_x
_atom_site_fract_y
_atom_site_fract_z
La1 0.000 0.000 0.000
Ge1 0.500 0.500 0.500
Se1 0.000 0.000 0.500
N1 0.000 0.500 0.000
N2 0.500 0.000 0.000
```

***

# Hf3Al2Cu4

Hf3Al2Cu4 after structural relaxation (GGA-PBE, Alexandria).

Output
The calculation puts the formation energy at -0.23 eV per atom. The space group is P-3m1.

```
data_Hf3Al2Cu4
_cell_length_a 4.474
_cell_length_b 4.474
_cell_length_c 8.273
_cell_angle_alpha 90.00
_cell_angle_beta 90.00
_cell_angle_gamma 120.00
_symmetry_space_group_name_H-M 'P 1'
_symmetry_Int_Tables_number 1
loop_
_symmetry_equiv_pos_as_xyz
'x,y,z'
loop_
_atom_site_label
_atom_site_fract_x
_atom_site_fract_y
_atom_site_fract_z
Hf1 0.000 0.000 0.000
Hf2 0.333 0.667 0.592
Hf3 0.667 0.333 0.408
Al1 0.333 0.667 0.223
Al2 0.667 0.333 0.777
Cu1 0.000 0.000 0.341
Cu2 0.000 0.000 0.659
Cu3 0.333 0.667 0.917
Cu4 0.667 0.333 0.083
```

***

# ZnSbCl2

ZnSbCl2 after structural relaxation (GGA-PBE, Alexandria).

Output
The space group is Cmm2. Its energy relative to the lowest polymorph listed for this composition is 0.169 eV per atom. The value obtained for the formation energy from raw total energies is -379.3 meV/atom.

```
data_ZnSbCl2
_cell_length_a 3.721
_cell_length_b 6.399
_cell_length_c 9.295
_cell_angle_alpha 90.00
_cell_angle_beta 90.00
_cell_angle_gamma 90.00
_symmetry_space_group_name_H-M 'P 1'
_symmetry_Int_Tables_number 1
loop_
_symmetry_equiv_pos_as_xyz
'x,y,z'
loop_
_atom_site_label
_atom_site_fract_x
_atom_site_fract_y
_atom_site_fract_z
Zn1 0.000 0.000 0.000
Zn2 0.500 0.500 0.000
Sb1 0.000 0.500 0.233
Sb2 0.500 0.000 0.233
Cl1 0.000 0.000 0.444
Cl2 0.000 0.500 0.842
Cl3 0.500 0.000 0.842
Cl4 0.500 0.500 0.444
```

***

# Ba8InHg2

Ba8InHg2 after structural relaxation (GGA-PBE, Alexandria).

Output
The calculation puts the formation energy at -0.21 eV per atom. The space group is Cm. Its energy relative to the lowest polymorph listed for this composition is 0.042 eV per atom.

```
data_Ba8InHg2
_cell_length_a 9.615
_cell_length_b 9.615
_cell_length_c 6.481
_cell_angle_alpha 98.77
_cell_angle_beta 98.77
_cell_angle_gamma 111.49
_symmetry_space_group_name_H-M 'P 1'
_symmetry_Int_Tables_number 1
loop_
_symmetry_equiv_pos_as_xyz
'x,y,z'
loop_
_atom_site_label
_atom_site_fract_x
_atom_site_fract_y
_atom_site_fract_z
Ba1 0.000 0.000 0.000
Ba2 0.050 0.305 0.605
Ba3 0.132 0.604 0.188
Ba4 0.305 0.050 0.605
Ba5 0.433 0.688 0.768
Ba6 0.604 0.132 0.188
Ba7 0.688 0.433 0.768
Ba8 0.732 0.732 0.376
In1 0.365 0.365 0.218
Hg1 0.051 0.686 0.687
Hg2 0.686 0.051 0.687
```

***

# CdAuCl2

CdAuCl2 after structural relaxation (GGA-PBE, Alexandria).

Output
The space group is C2/m. Its energy relative to the lowest polymorph listed for this composition is 0.238 eV per atom. The value obtained for the formation energy from raw total energies is -187.5 meV/atom.

```
data_CdAuCl2
_cell_length_a 6.556
_cell_length_b 7.724
_cell_length_c 5.016
_cell_angle_alpha 90.00
_cell_angle_beta 129.79
_cell_angle_gamma 90.00
_symmetry_space_group_name_H-M 'P 1'
_symmetry_Int_Tables_number 1
loop_
_symmetry_equiv_pos_as_xyz
'x,y,z'
loop_
_atom_site_label
_atom_site_fract_x
_atom_site_fract_y
_atom_site_fract_z
Cd1 0.000 0.000 0.000
Cd2 0.500 0.500 0.000
Au1 0.000 0.500 0.000
Au2 0.500 0.000 0.000
Cl1 0.250 0.250 0.500
Cl2 0.250 0.750 0.500
Cl3 0.750 0.250 0.500
Cl4 0.750 0.750 0.500
```

***

| no. | V (Å³ per atom) |
| --- | --- |
| 1 | 27.9 |
| 2 | 13.0 |
| 3 | 20.9 |
| 4 | 33.3 |
| 5 | 27.8 |
| 6 | 22.6 |
| 7 | 15.9 |
| 8 | 27.7 |
| 9 | 48.8 |
| 10 | 24.4 |